# PBE Mg3Ga8Pd3, optimized geometry
# Total DFT energy (no corrections) in eV per atom: -3.530
# D(E_F) in states/eV per cell: 7.78
# Calculated volume in Å³/cell: 507.5
# ΔH_f (0 K) in eV per formula unit: -4.85
data_Mg3Ga8Pd3
_chemical_formula_sum 'Mg6 Ga16 Pd6'
_cell_length_a 4.1860
_cell_length_b 9.5348
_cell_length_c 12.7165
_cell_angle_alpha 90.00
_cell_angle_beta 90.00
_cell_angle_gamma 90.00
_space_group_name_H-M_alt 'I m m m'
_space_group_IT_number 71
_space_group_name_Hall '-I 2 2'
loop_
_atom_site_label
_atom_site_fract_x
_atom_site_fract_y
_atom_site_fract_z
Mg1 0.0000 0.0000 0.0000
Mg2 0.0000 0.0000 0.3550
Ga1 0.0000 0.2798 0.1198
Ga2 0.0000 0.3683 0.3134
Pd1 0.0000 0.2539 0.5000
Pd2 0.0000 0.5000 0.0000